VASP calculation (PBE-GGA) on TiAg3Br after structural relaxation.

* total magnetization: 3.0 μB/cell
* formation energy (no corrections): 106 kJ per mole of atoms

Unit cell a=5.1522 b=5.1522 c=5.1522 alpha=90.00 beta=90.00 gamma=90.00
Closest atoms and distances in Å follow each position.
Sites, in units of the cell vectors:
Ti (0.0000, 0.0000, 0.0000)  12 Ag 3.64
Ag (0.0000, 0.5000, 0.5000)  2 Br 2.58
Ag (0.5000, 0.0000, 0.5000)  2 Br 2.58
Ag (0.5000, 0.5000, 0.0000)  2 Br 2.58
Br (0.5000, 0.5000, 0.5000)  6 Ag 2.58


VASP calculation (PBE-GGA) on Co2Ir2Ru after structural relaxation.

* E_form: 25 kJ/mol of atoms
* total magnetization: 4.7 μB/cell

Unit cell a=6.9780 b=6.9780 c=2.7101 alpha=90.00 beta=90.00 gamma=90.00
Closest atoms and distances in Å follow each position.
Sites, in units of the cell vectors:
Co (0.1211, 0.3789, 0.0000)  1 Co 2.39, 6 Ir 2.42-2.50
Co (0.3789, 0.8789, 0.0000)  1 Co 2.39, 6 Ir 2.42-2.50
Co (0.6211, 0.1211, 0.0000)  1 Co 2.39, 6 Ir 2.42-2.50
Co (0.8789, 0.6211, 0.0000)  1 Co 2.39, 6 Ir 2.42-2.50
Ir (0.1756, 0.6756, 0.5000)  6 Co 2.42-2.50, 2 Ir 2.71
Ir (0.3244, 0.1756, 0.5000)  6 Co 2.42-2.50, 2 Ir 2.71
Ir (0.6756, 0.8244, 0.5000)  6 Co 2.42-2.50, 2 Ir 2.71
Ir (0.8244, 0.3244, 0.5000)  6 Co 2.42-2.50, 2 Ir 2.71
Ru (0.0000, 0.0000, 0.0000)  2 Ru 2.71, 4 Co 2.78, 8 Ir 2.91
Ru (0.5000, 0.5000, 0.0000)  2 Ru 2.71, 4 Co 2.78, 8 Ir 2.91


VASP calculation (PBE-GGA) on Ba4GaPd4 after structural relaxation.

* E_form: -50 kJ/mol of atoms
* total magnetization: 0.0 μB/cell

Unit cell a=9.2581 b=9.2581 c=6.4255 alpha=90.00 beta=90.00 gamma=90.00
Closest atoms and distances in Å follow each position.
Sites, in units of the cell vectors:
Ba (0.0290, 0.6876, 0.1002)  5 Pd 3.23-3.60, 1 Ga 3.47
Ba (0.1876, 0.9710, 0.6002)  5 Pd 3.23-3.60, 1 Ga 3.47
Ba (0.3124, 0.5290, 0.6002)  5 Pd 3.23-3.60, 1 Ga 3.47
Ba (0.4710, 0.8124, 0.1002)  5 Pd 3.23-3.60, 1 Ga 3.47
Ba (0.5290, 0.1876, 0.8998)  5 Pd 3.23-3.60, 1 Ga 3.47
Ba (0.6876, 0.4710, 0.3998)  5 Pd 3.23-3.60, 1 Ga 3.47
Ba (0.8124, 0.0290, 0.3998)  5 Pd 3.23-3.60, 1 Ga 3.47
Ba (0.9710, 0.3124, 0.8998)  5 Pd 3.23-3.60, 1 Ga 3.47
Ga (0.2500, 0.2500, 0.2500)  4 Pd 2.53
Ga (0.7500, 0.7500, 0.7500)  4 Pd 2.53
Pd (0.0282, 0.3641, 0.4097)  1 Ga 2.53, 1 Pd 2.82
Pd (0.1359, 0.0282, 0.0903)  1 Ga 2.53, 1 Pd 2.82
Pd (0.3641, 0.4718, 0.0903)  1 Ga 2.53, 1 Pd 2.82
Pd (0.4718, 0.1359, 0.4097)  1 Ga 2.53, 1 Pd 2.82
Pd (0.5282, 0.8641, 0.5903)  1 Ga 2.53, 1 Pd 2.82
Pd (0.6359, 0.5282, 0.9097)  1 Ga 2.53, 1 Pd 2.82
Pd (0.8641, 0.9718, 0.9097)  1 Ga 2.53, 1 Pd 2.82
Pd (0.9718, 0.6359, 0.5903)  1 Ga 2.53, 1 Pd 2.82


VASP calculation (PBE-GGA) on LaDyY6 after structural relaxation.

* E_form: 14 kJ/mol of atoms
* total magnetization: 0.0 μB/cell

Unit cell a=6.5073 b=6.5073 c=6.5073 alpha=96.28 beta=96.28 gamma=96.28
Closest atoms and distances in Å follow each position.
Sites, in units of the cell vectors:
La (0.0000, 0.0000, 0.0000)  12 Y 3.55-3.79
Dy (0.5000, 0.5000, 0.5000)  12 Y 3.54-3.76
Y (0.0411, 0.7468, 0.4557)  4 Y 3.32-3.39, 1 Dy 3.54, 1 La 3.55
Y (0.2532, 0.5443, 0.9589)  4 Y 3.32-3.39, 1 Dy 3.54, 1 La 3.55
Y (0.4557, 0.0411, 0.7468)  4 Y 3.32-3.39, 1 Dy 3.54, 1 La 3.55
Y (0.5443, 0.9589, 0.2532)  4 Y 3.32-3.39, 1 Dy 3.54, 1 La 3.55
Y (0.7468, 0.4557, 0.0411)  4 Y 3.32-3.39, 1 Dy 3.54, 1 La 3.55
Y (0.9589, 0.2532, 0.5443)  4 Y 3.32-3.39, 1 Dy 3.54, 1 La 3.55


VASP calculation (PBE-GGA) on TlCdSeBr after structural relaxation.

* total magnetization: 0.0 μB/cell
* formation energy (no corrections): -65 kJ per mole of atoms

Unit cell a=4.4004 b=4.4004 c=7.9668 alpha=90.00 beta=90.00 gamma=120.00
Closest atoms and distances in Å follow each position.
Sites, in units of the cell vectors:
Tl (0.0000, 0.0000, 0.0000)  3 Br 3.22, 3 Se 3.47
Cd (0.6667, 0.3333, 0.5892)  3 Se 2.70, 1 Br 2.72
Se (0.3333, 0.6667, 0.7039)  3 Cd 2.70
Br (0.6667, 0.3333, 0.2479)  1 Cd 2.72


VASP calculation (PBE-GGA) on AlMoPt2 after structural relaxation.

* E_form: -48 kJ/mol of atoms
* total magnetization: 0.0 μB/cell

Unit cell a=2.8417 b=2.8417 c=7.5584 alpha=90.00 beta=90.00 gamma=90.00
Closest atoms and distances in Å follow each position.
Sites, in units of the cell vectors:
Al (0.0000, 0.0000, 0.0000)  4 Pt 2.59, 4 Mo 2.78, 4 Al 2.84
Mo (0.5000, 0.5000, 0.2550)  4 Pt 2.72, 4 Al 2.78, 4 Mo 2.84
Pt (0.0000, 0.0000, 0.4966)  4 Mo 2.72, 8 Pt 2.84-2.96
Pt (0.5000, 0.5000, 0.7837)  4 Al 2.59, 4 Pt 2.84